1.
LiCa2GaS4 | PBE | relaxed

Properties
- Space-group type: No. 74
- Crystal system: orthorhombic
- Energy relative to the elements, uncorrected: -1396 meV per atom
- Theoretical density: 2.95 g/cm³

The structure in POSCAR format:
```
LiCa2GaS4
1.0
7.629 0.161 -0.058
0.155 7.629 -0.058
-3.885 -3.888 5.565
Li Ca Ga S
2 4 2 8
direct
0.000 0.500 0.000
0.000 0.500 0.500
0.500 0.000 0.000
0.500 0.000 0.500
0.000 0.000 0.500
0.500 0.500 0.000
0.500 0.500 0.500
0.000 0.000 0.000
0.219 0.766 0.993
0.734 0.281 0.507
0.266 0.719 0.493
0.781 0.234 0.007
0.759 0.741 0.987
0.759 0.741 0.513
0.241 0.259 0.487
0.241 0.259 0.013
```

---

2.
BaCd2AgRh | PBE | relaxed

Properties
- Space-group type: No. 123
- D(E_F): 2.79 states/eV per cell
- Crystal system: tetragonal
- Theoretical density: 6.61 g/cm³

The structure in POSCAR format:
```
BaCd2AgRh
1.0
5.196 0.000 0.000
0.000 5.196 0.000
0.000 0.000 5.333
Rh Ba Ag Cd
1 1 1 2
direct
0.000 0.000 0.000
0.500 0.500 0.500
0.000 0.000 0.500
0.000 0.500 0.000
0.500 0.000 0.000
```

---

3.
YSc2Si | PBE | relaxed

Properties
- Space-group type: No. 166
- D(E_F): 4.21 states/eV per cell
- Crystal system: trigonal
- Energy relative to the elements, uncorrected: 7 meV per atom
- Theoretical density: 3.46 g/cm³

The structure in POSCAR format:
```
YSc2Si
1.0
1.933 0.000 10.235
-0.966 1.674 10.235
-0.966 -1.674 10.235
Y Sc Si
1 2 1
direct
0.000 0.000 0.000
0.895 0.895 0.895
0.105 0.105 0.105
0.500 0.500 0.500
```

---

4.
LaHg2 | PBE | relaxed

Properties
- Space-group type: No. 63
- D(E_F): 3.81 states/eV per cell
- Crystal system: orthorhombic
- Theoretical density: 10.64 g/cm³

The structure in POSCAR format:
```
LaHg2
1.0
4.108 0.000 0.000
2.054 7.569 0.000
0.000 0.000 5.420
Hg La
4 2
direct
0.005 0.989 0.000
0.212 0.575 0.500
0.343 0.314 0.000
0.550 0.900 0.500
0.672 0.656 0.000
0.883 0.233 0.500
```

---

5.
NiSb2TeP | PBE | relaxed

Properties
- Space-group type: No. 123
- D(E_F): 5.02 states/eV per cell
- Crystal system: tetragonal
- Energy relative to the elements, uncorrected: 979 meV per atom
- Theoretical density: 5.65 g/cm³
- E above lowest polymorph: 398 meV/atom

The structure in POSCAR format:
```
NiSb2TeP
1.0
5.081 0.000 0.000
0.000 5.081 0.000
0.000 0.000 5.244
Sb Te P Ni
2 1 1 1
direct
0.000 0.500 0.000
0.500 0.000 0.000
0.000 0.000 0.500
0.000 0.000 0.000
0.500 0.500 0.500
```

---

6.
Pr2SbTe | PBE | relaxed

Properties
- Space-group type: No. 225
- D(E_F): 3.47 states/eV per cell
- Crystal system: cubic
- Energy relative to the elements, uncorrected: -1121 meV per atom
- Theoretical density: 7.31 g/cm³
- E above lowest polymorph: 239 meV/atom

The structure in POSCAR format:
```
Pr2SbTe
1.0
-0.747 4.569 3.054
1.206 -0.055 5.414
4.386 2.818 1.893
Pr Sb Te
2 1 1
direct
0.250 0.250 0.250
0.750 0.750 0.750
0.000 0.000 0.000
0.500 0.500 0.500
```

---

7.
SrTlRe2 | PBE | relaxed

Properties
- Space-group type: No. 123
- D(E_F): 5.20 states/eV per cell
- Crystal system: tetragonal
- Theoretical density: 13.46 g/cm³
- E above lowest polymorph: 965 meV/atom

The structure in POSCAR format:
```
SrTlRe2
1.0
-1.014 1.449 2.229
-2.631 -0.203 -1.065
-1.364 -8.679 5.022
Re Sr Tl
2 1 1
direct
0.000 0.000 0.989
0.000 0.000 0.511
0.500 0.500 0.250
0.500 0.500 0.750
```

---

8.
Al2TcSnO | PBE | relaxed

Properties
- Space-group type: No. 123
- D(E_F): 4.51 states/eV per cell
- Crystal system: tetragonal
- Energy relative to the elements, uncorrected: -176 meV per atom
- Theoretical density: 6.34 g/cm³

The structure in POSCAR format:
```
Al2TcSnO
1.0
4.044 0.000 0.000
0.000 4.594 0.000
0.000 0.000 4.044
Al Sn O Tc
2 1 1 1
direct
0.000 0.000 0.500
0.500 0.000 0.000
0.500 0.500 0.500
0.000 0.000 0.000
0.000 0.500 0.000
```

---

9.
PHPdN | PBE | relaxed

Properties
- Space-group type: No. 8
- D(E_F): 0.99 states/eV per cell
- Crystal system: monoclinic
- Theoretical density: 5.31 g/cm³
- E above lowest polymorph: 301 meV/atom

The structure in POSCAR format:
```
PHPdN
1.0
3.372 -0.005 0.007
-1.679 3.613 0.014
-0.012 -2.003 3.907
P H Pd N
1 1 1 1
direct
0.210 0.981 0.478
0.435 0.433 0.542
0.704 0.969 0.832
0.065 0.693 0.076
```

---

10.
SiB3Pb | PBE | relaxed

Properties
- Space-group type: No. 221
- D(E_F): 4.17 states/eV per cell
- Crystal system: cubic
- Energy relative to the elements, uncorrected: 2716 meV per atom
- Theoretical density: 4.53 g/cm³
- E above lowest polymorph: 1275 meV/atom

The structure in POSCAR format:
```
SiB3Pb
1.0
-0.449 -0.206 4.584
1.298 -4.424 -0.072
4.402 1.284 0.489
Pb Si B
1 1 3
direct
0.000 0.000 0.000
0.500 0.500 0.500
0.000 0.500 0.000
0.000 0.000 0.500
0.500 0.000 0.000
```

---

11.
CdInCoPd | PBE | relaxed

Properties
- Space-group type: No. 216
- D(E_F): 2.87 states/eV per cell
- Crystal system: cubic
- Theoretical density: 9.76 g/cm³

The structure in POSCAR format:
```
CdInCoPd
1.0
4.554 0.000 0.000
2.277 3.944 0.000
2.277 1.315 3.718
Cd Co Pd In
1 1 1 1
direct
0.000 0.000 0.000
0.750 0.750 0.750
0.250 0.250 0.250
0.500 0.500 0.500
```

---

12.
ErHfCdPt | PBE | relaxed

Properties
- Space-group type: No. 216
- D(E_F): 4.38 states/eV per cell
- Crystal system: cubic
- Theoretical density: 12.84 g/cm³

The structure in POSCAR format:
```
ErHfCdPt
1.0
4.925 0.000 0.000
2.463 4.266 0.000
2.463 1.422 4.022
Cd Hf Pt Er
1 1 1 1
direct
0.250 0.250 0.250
0.500 0.500 0.500
0.750 0.750 0.750
0.000 0.000 0.000
```

---

13.
ReIN | PBE | relaxed

Properties
- Space-group type: No. 2
- D(E_F): 2.02 states/eV per cell
- Crystal system: triclinic
- Energy relative to the elements, uncorrected: 237 meV per atom
- Theoretical density: 7.94 g/cm³
- E above lowest polymorph: 85 meV/atom

The structure in POSCAR format:
```
ReIN
1.0
3.467 -0.712 -0.015
-2.101 4.610 0.133
-0.113 -0.090 9.441
I N Re
2 2 2
direct
0.504 0.740 0.203
0.496 0.260 0.797
0.438 0.232 0.456
0.562 0.768 0.544
0.979 0.280 0.565
0.021 0.720 0.435
```

---

14.
Be2TlGe | PBE | relaxed

Properties
- Space-group type: No. 122
- D(E_F): 3.75 states/eV per cell
- Crystal system: tetragonal
- Theoretical density: 6.73 g/cm³
- E above lowest polymorph: 0 meV/atom

The structure in POSCAR format:
```
Be2TlGe
1.0
-0.203 3.538 -2.695
-4.444 -0.052 0.266
-2.026 6.203 4.618
Be Tl Ge
4 2 2
direct
0.495 0.125 0.250
0.255 0.625 0.250
0.375 0.505 0.750
0.875 0.745 0.750
0.000 0.000 0.000
0.750 0.250 0.500
0.500 0.500 0.000
0.250 0.750 0.500
```

---

15.
MgGa2 | PBE | relaxed

Properties
- Space-group type: No. 55
- D(E_F): 9.58 states/eV per cell
- Crystal system: orthorhombic
- Theoretical density: 4.71 g/cm³

The structure in POSCAR format:
```
MgGa2
1.0
-1.107 -1.830 3.517
5.828 -3.500 0.013
7.253 12.111 8.584
Mg Ga
8 16
direct
0.000 0.327 0.077
0.000 0.294 0.780
0.000 0.673 0.923
0.000 0.706 0.220
0.000 0.794 0.720
0.000 0.827 0.423
0.000 0.173 0.577
0.000 0.206 0.280
0.500 0.354 0.939
0.500 0.146 0.439
0.500 0.471 0.658
0.500 0.854 0.561
0.000 0.901 0.066
0.000 0.099 0.934
0.500 0.529 0.342
0.500 0.413 0.190
0.500 0.646 0.061
0.000 0.599 0.566
0.500 0.913 0.310
0.500 0.971 0.842
0.500 0.087 0.690
0.500 0.029 0.158
0.500 0.587 0.810
0.000 0.401 0.434
```

---

16.
HfFe2Br | PBE | relaxed

Properties
- Space-group type: No. 122
- D(E_F): 16.94 states/eV per cell
- Crystal system: tetragonal
- Energy relative to the elements, uncorrected: 753 meV per atom
- Theoretical density: 9.74 g/cm³
- E above lowest polymorph: 100 meV/atom

The structure in POSCAR format:
```
HfFe2Br
1.0
-0.667 2.153 -6.493
5.890 -3.138 -1.645
1.259 -2.716 -4.668
Hf Fe Br
2 4 2
direct
0.000 0.000 0.000
0.750 0.250 0.500
0.577 0.125 0.250
0.173 0.625 0.250
0.375 0.423 0.750
0.875 0.827 0.750
0.500 0.500 0.000
0.250 0.750 0.500
```

---

17.
MgTc2Ir | PBE | relaxed

Properties
- Space-group type: No. 123
- D(E_F): 4.86 states/eV per cell
- Crystal system: tetragonal
- Theoretical density: 11.14 g/cm³

The structure in POSCAR format:
```
MgTc2Ir
1.0
-2.608 0.241 -0.746
0.344 -1.980 -1.838
-2.147 -5.646 5.681
Ir Mg Tc
1 1 2
direct
0.500 0.500 0.250
0.500 0.500 0.750
0.000 0.000 0.016
0.000 0.000 0.484
```

---

18.
BaAc2Cu | PBE | relaxed

Properties
- Space-group type: No. 160
- D(E_F): 6.88 states/eV per cell
- Crystal system: trigonal
- Theoretical density: 6.43 g/cm³
- E above lowest polymorph: 45 meV/atom

The structure in POSCAR format:
```
BaAc2Cu
1.0
4.287 0.000 0.000
2.143 3.712 0.000
2.143 1.237 10.634
Ba Ac Cu
1 2 1
direct
0.500 0.500 0.500
0.057 0.057 0.829
0.276 0.276 0.171
0.666 0.666 0.001
```

---

19.
Ho4MgCu3 | PBE | relaxed

Properties
- Space-group type: No. 47
- D(E_F): 5.70 states/eV per cell
- Crystal system: orthorhombic
- Theoretical density: 8.29 g/cm³

The structure in POSCAR format:
```
Ho4MgCu3
1.0
3.527 0.000 0.000
0.000 5.007 0.000
0.000 0.000 9.924
Mg Ho Cu
1 4 3
direct
0.500 0.500 0.000
0.000 0.000 0.500
0.000 0.500 0.735
0.000 0.000 0.000
0.000 0.500 0.265
0.500 0.000 0.240
0.500 0.500 0.500
0.500 0.000 0.760
```

---

20.
HoZn2Ge | PBE | relaxed

Properties
- Space-group type: No. 47
- D(E_F): 1.41 states/eV per cell
- Crystal system: orthorhombic
- Theoretical density: 7.75 g/cm³
- E above lowest polymorph: 139 meV/atom

The structure in POSCAR format:
```
HoZn2Ge
1.0
-3.747 1.532 -2.198
-1.717 -2.587 1.123
-1.353 2.724 4.204
Ho Zn Ge
1 2 1
direct
0.500 0.500 0.000
0.000 0.000 0.243
0.000 0.000 0.757
0.500 0.000 0.500
```

---

We obtain total DFT energy (no corrections) values of -36.623, -14.549, -24.522, -6.908, -17.681, -21.306, -23.538, -27.694, -21.453, -15.584, -16.249, -23.525, -21.612, -12.422, -8.040, -25.538, -30.744, -13.962, -33.625, -12.842 eV/f.u. for the records listed above, in that order.